First-principles (PBE) data for La2Sm4N after structural relaxation, as listed in Alexandria.

## Properties
DFT total energy in eV per atom: -5.5506
E_form (uncorrected) in eV per formula unit: -1.8

Cell lengths 4.9590, 4.9590, 18.0505 Å; angles 90.00, 90.00, 90.00 degrees
Last column: nearest neighbours and their distance in Å.
Space group I4/mmm (No. 139)
Symmetry-distinct sites (fractional):
La: 0.0000 0.0000 0.1732 (multiplicity 4)  5 Sm 3.53-3.59
Sm: 0.0000 0.0000 0.3685 (multiplicity 4)  1 N 2.37
Sm: 0.0000 0.5000 0.0000 (multiplicity 4)  2 N 2.48
N: 0.0000 0.0000 0.5000 (multiplicity 2)  6 Sm 2.37-2.48